The following is a DFT calculation (PBE-GGA) of a relaxed Tm2Pa2Ni15 crystal.

Values from the calculation:
Its volume is 13.8 Å³ per atom. The space group is R-3m (166). The formation energy is -0.302 eV per atom.

Unit cell a=6.473 b=6.473 c=6.473 alpha=81.27 beta=81.27 gamma=81.27
Element x y z (fractional)
Ni 0.686 0.314 0.000
Ni 0.655 0.165 0.655
Ni 0.314 0.000 0.686
Ni 0.835 0.345 0.345
Ni 0.314 0.686 0.000
Ni 0.000 0.000 0.500
Ni 0.686 0.000 0.314
Ni 0.345 0.345 0.835
Ni 0.000 0.686 0.314
Ni 0.000 0.314 0.686
Ni 0.000 0.500 0.000
Ni 0.165 0.655 0.655
Ni 0.500 0.000 0.000
Ni 0.655 0.655 0.165
Ni 0.345 0.835 0.345
Tm 0.635 0.635 0.635
Tm 0.365 0.365 0.365
Pa 0.109 0.109 0.109
Pa 0.891 0.891 0.891


The following is a DFT calculation (PBE-GGA) of a relaxed TmPaNi5 crystal.

Values from the calculation:
Its volume is 15.0 Å³ per atom. The space group is Pnma (62). The formation energy is -0.420 eV per atom.

Unit cell a=5.043 b=8.080 c=10.319 alpha=90.00 beta=90.00 gamma=90.00
Element x y z (fractional)
Ni 0.750 0.318 0.741
Ni 0.750 0.387 0.977
Ni 0.750 0.818 0.759
Ni 0.750 0.887 0.523
Ni 0.750 0.575 0.607
Ni 0.250 0.925 0.107
Ni 0.250 0.182 0.241
Ni 0.750 0.075 0.893
Ni 0.498 0.066 0.684
Ni 0.250 0.682 0.259
Ni 0.498 0.566 0.816
Ni 0.250 0.425 0.393
Ni 0.002 0.566 0.816
Ni 0.250 0.113 0.477
Ni 0.250 0.613 0.023
Ni 0.502 0.434 0.184
Ni 0.502 0.934 0.316
Ni 0.998 0.934 0.316
Ni 0.002 0.066 0.684
Ni 0.998 0.434 0.184
Tm 0.750 0.222 0.450
Tm 0.250 0.278 0.950
Tm 0.250 0.778 0.550
Tm 0.750 0.722 0.050
Pa 0.250 0.877 0.860
Pa 0.750 0.623 0.360
Pa 0.250 0.377 0.640
Pa 0.750 0.123 0.140


The following is a DFT calculation (PBE-GGA) of a relaxed TmPaNi2 crystal.

Values from the calculation:
Its volume is 20.3 Å³ per atom. The energy above the lowest structure with this stoichiometry comes out at 0.1537 eV/atom. The space group is R-3m (166). The formation energy is -0.270 eV per atom.

Unit cell a=3.669 b=3.669 c=7.280 alpha=75.41 beta=75.41 gamma=60.00
Element x y z (fractional)
Tm 0.500 0.500 0.500
Pa 0.000 0.000 0.000
Ni 0.743 0.743 0.770
Ni 0.257 0.257 0.230